VASP calculation (GGA-PBE) on an optimized crystal structure of Ho3TmCd.

Unit cell a=3.6723 b=9.5474 c=9.0536 alpha=90.00 beta=101.64 gamma=90.00
Last column: nearest neighbours and their distance in Å.
Space group P2_1/m (No. 11)
Unique sites:
Ho1 0.0135 0.2500 0.0248 (multiplicity 2)  1 Cd 3.16, 1 Tm 3.33, 4 Ho 3.45
Ho2 0.3963 0.0053 0.7933 (multiplicity 4)  2 Cd 3.17, 2 Ho 3.45, 2 Tm 3.50
Tm1 0.2001 0.2500 0.4006 (multiplicity 2)  2 Cd 3.00, 1 Ho 3.33
Cd1 0.1666 0.7500 0.3315 (multiplicity 2)  2 Tm 3.00, 5 Ho 3.16-3.17

Computed properties:
Crystal system: monoclinic
Energy relative to the elements: 0.07 eV per atom